[1]
Compound: HfBeF3
Source: Alexandria via LeMat-Bulk
Functional: PBE-GGA
Structure: optimized geometry

Values from the calculation:
formation energy without anion corrections: -1.396 eV per atom
total magnetic moment: 2.26 μB/f.u.
DOS at the Fermi energy: 0.331 states/eV/atom
SG: Pm-3m, No. 221
excess energy over the best structure of this formula in the dataset: 2.12 eV/f.u.
V: 57 Å³/f.u.

a = 3.8500 Å, b = 3.8500 Å, c = 3.8500 Å
α = 90.00°, β = 90.00°, γ = 90.00°
Closest atoms and distances in Å follow each position.
Fractional positions:
Be (0.0000, 0.0000, 0.0000)  6 F 1.93
Hf (0.5000, 0.5000, 0.5000)  12 F 2.72
F (0.0000, 0.5000, 0.0000)  2 Be 1.93
F (0.0000, 0.0000, 0.5000)  2 Be 1.93
F (0.5000, 0.0000, 0.0000)  2 Be 1.93

=====

[2]
Compound: HfBe2F
Source: Alexandria via LeMat-Bulk
Functional: PBE-GGA
Structure: optimized geometry

Values from the calculation:
formation energy without anion corrections: -0.161 eV per atom
total magnetic moment: 1.12 μB/f.u.
DOS at the Fermi energy: 0.902 states/eV/atom
SG: I-42d, No. 122
excess energy over the best structure of this formula in the dataset: 0.00 eV/f.u.
V: 55 Å³/f.u.

a = 5.4713 Å, b = 5.4713 Å, c = 5.3428 Å
α = 59.20°, β = 59.20°, γ = 90.00°
Closest atoms and distances in Å follow each position.
Fractional positions:
Be (0.4716, 0.1250, 0.2500)  2 F 1.73
Be (0.2784, 0.6250, 0.2500)  2 F 1.73
Be (0.3750, 0.5284, 0.7500)  2 F 1.73
Be (0.8750, 0.7216, 0.7500)  2 F 1.73
Hf (0.0000, 0.0000, 0.0000)  4 Be 2.76
Hf (0.7500, 0.2500, 0.5000)  4 Be 2.76
F (0.5000, 0.5000, 0.0000)  4 Be 1.73
F (0.2500, 0.7500, 0.5000)  4 Be 1.73

=====

[3]
Compound: HfBe2F
Source: Alexandria via LeMat-Bulk
Functional: PBE-GGA
Structure: optimized geometry

Values from the calculation:
formation energy without anion corrections: 0.408 eV per atom
total magnetic moment: 0.00 μB/f.u.
DOS at the Fermi energy: 0.883 states/eV/atom
SG: Fm-3m, No. 225
excess energy over the best structure of this formula in the dataset: 2.27 eV/f.u.
V: 55 Å³/f.u.

a = 4.2696 Å, b = 4.2696 Å, c = 4.2696 Å
α = 60.00°, β = 60.00°, γ = 60.00°
Closest atoms and distances in Å follow each position.
Fractional positions:
Be (0.2500, 0.2500, 0.2500)  4 Hf 2.61, 4 F 2.61
Be (0.7500, 0.7500, 0.7500)  4 Hf 2.61, 4 F 2.61
Hf (0.5000, 0.5000, 0.5000)  8 Be 2.61
F (0.0000, 0.0000, 0.0000)  8 Be 2.61

=====

[4]
Compound: HfBeF
Source: Alexandria via LeMat-Bulk
Functional: PBE-GGA
Structure: optimized geometry

Values from the calculation:
formation energy without anion corrections: -0.902 eV per atom
total magnetic moment: 0.00 μB/f.u.
DOS at the Fermi energy: 0.522 states/eV/atom
SG: Amm2, No. 38
V: 43 Å³/f.u.

a = 2.9941 Å, b = 2.9942 Å, c = 11.0300 Å
α = 90.00°, β = 90.00°, γ = 120.00°
Closest atoms and distances in Å follow each position.
Fractional positions:
Be (0.3890, 0.7781, 0.0000)  6 Hf 2.68, 6 Be 2.99
Be (0.7210, 0.4420, 0.5000)  2 F 1.89
F (0.7224, 0.4449, 0.3286)  1 Be 1.89
F (0.7224, 0.4449, 0.6714)  1 Be 1.89
Hf (0.0558, 0.1117, 0.8138)  3 F 2.34
Hf (0.0558, 0.1117, 0.1862)  3 F 2.34

=====

[5]
Compound: HfBeF3
Source: Alexandria via LeMat-Bulk
Functional: PBE-GGA
Structure: optimized geometry

Values from the calculation:
formation energy without anion corrections: -1.821 eV per atom
total magnetic moment: 0.91 μB/f.u.
DOS at the Fermi energy: 0.584 states/eV/atom
SG: Pm-3m, No. 221
excess energy over the best structure of this formula in the dataset: 0.00 eV/f.u.
V: 76 Å³/f.u.

a = 4.2440 Å, b = 4.2440 Å, c = 4.2440 Å
α = 90.00°, β = 90.00°, γ = 90.00°
Closest atoms and distances in Å follow each position.
Fractional positions:
Be (0.5000, 0.5000, 0.5000)  12 F 3.00
Hf (0.0000, 0.0000, 0.0000)  6 F 2.12
F (0.0000, 0.5000, 0.0000)  2 Hf 2.12
F (0.0000, 0.0000, 0.5000)  2 Hf 2.12
F (0.5000, 0.0000, 0.0000)  2 Hf 2.12

=====

[6]
Compound: HfBe3F
Source: Alexandria via LeMat-Bulk
Functional: PBE-GGA
Structure: optimized geometry

Values from the calculation:
formation energy without anion corrections: 0.032 eV per atom
total magnetic moment: 0.00 μB/f.u.
DOS at the Fermi energy: 0.818 states/eV/atom
SG: Pm-3m, No. 221
excess energy over the best structure of this formula in the dataset: 0.00 eV/f.u.
V: 61 Å³/f.u.

a = 3.9427 Å, b = 3.9427 Å, c = 3.9427 Å
α = 90.00°, β = 90.00°, γ = 90.00°
Closest atoms and distances in Å follow each position.
Fractional positions:
Be (0.0000, 0.5000, 0.0000)  2 F 1.97
Be (0.0000, 0.0000, 0.5000)  2 F 1.97
Be (0.5000, 0.0000, 0.0000)  2 F 1.97
Hf (0.5000, 0.5000, 0.5000)  12 Be 2.79
F (0.0000, 0.0000, 0.0000)  6 Be 1.97